[1]
6
Lattice="2.144 1.238 12.341 -2.144 1.238 12.341 0.000 -2.476 12.341" Properties=species:S:1:pos:R:3 comment="MgInSe | Alexandria | GGA-PBE | relaxed" relative_energy_mev_per_atom=0 sg="No. 166" pbc="T T T"
Mg 0.000 0.000 5.110
Mg 0.000 0.000 31.913
In 0.000 0.000 13.271
In 0.000 0.000 23.752
Se 0.000 0.000 7.833
Se 0.000 0.000 29.190

[2]
6
Lattice="0.000 4.124 4.124 4.124 0.000 4.124 4.124 4.124 0.000" Properties=species:S:1:pos:R:3 comment="Mg4InSe | Alexandria | GGA-PBE | relaxed" sg="No. 216" pbc="T T T"
Mg 1.033 1.033 1.033
Mg 3.091 3.091 1.033
Mg 3.091 1.033 3.091
Mg 1.033 3.091 3.091
In 4.124 4.124 4.124
Se 6.186 6.186 6.186

[3]
12
Lattice="6.871 0.000 0.000 0.000 6.871 0.000 0.000 0.000 6.871" Properties=species:S:1:pos:R:3 comment="MgInSe | Alexandria | GGA-PBE | relaxed" relative_energy_mev_per_atom=343 sg="No. 216" pbc="T T T"
Mg 0.000 0.000 0.000
Mg 0.000 3.436 3.436
Mg 3.436 0.000 3.436
Mg 3.436 3.436 0.000
In 1.718 1.718 1.718
In 1.718 5.153 5.153
In 5.153 1.718 5.153
In 5.153 5.153 1.718
Se 1.718 1.718 5.153
Se 1.718 5.153 1.718
Se 5.153 1.718 1.718
Se 5.153 5.153 5.153

no.,E (eV per atom)
1,-3.190
2,-2.093
3,-2.847